Here is an optimized crystal structure of Mn2AlIn from the Alexandria database. Energies are from PBE.

Cell lengths 4.4936, 2.8769, 4.7693 Å; angles 89.99, 90.00, 90.00 degrees
Fractional positions:
1 Mn 0.5000 0.1251 0.3046
2 Mn 0.0000 0.1249 0.9636
3 In 0.5000 0.6254 0.8093
4 Al 0.0000 0.6247 0.4225

The energy above the lowest structure with this stoichiometry comes out at 0.079 eV per atom. The value obtained for the formation energy is 8.33 kJ/mol of atoms. The calculated total energy is -6.12 eV/atom. As for the crystal system: orthorhombic. For the density of states at the Fermi level, the calculation gives 2.71 states/eV/f.u.

---

Here is an optimized crystal structure of MnAl2In2 from the Alexandria database. Energies are from PBE.

Cell lengths 3.5885, 3.5885, 8.2638 Å; angles 77.46, 77.46, 90.00 degrees
Fractional positions:
1 In 0.4083 0.4083 0.1835
2 In 0.5917 0.5917 0.8165
3 Al 0.7500 0.2500 0.5000
4 Al 0.2500 0.7500 0.5000
5 Mn 0.0000 0.0000 0.0000

The energy above the lowest structure with this stoichiometry comes out at 0.411 eV per atom. The value obtained for the formation energy is 63.07 kJ/mol of atoms. The calculated total energy is -3.77 eV/atom. As for the crystal system: tetragonal. For the density of states at the Fermi level, the calculation gives 5.43 states/eV/f.u.

---

Here is an optimized crystal structure of Mn2AlIn from the Alexandria database. Energies are from PBE.

Cell lengths 4.0014, 4.0023, 3.8146 Å; angles 90.00, 90.00, 90.00 degrees
Fractional positions:
1 Mn 0.5000 0.5000 0.0000
2 Mn 0.0000 0.0000 0.0000
3 Al 0.5000 0.0000 0.5000
4 In 0.0000 0.5000 0.5000

The energy above the lowest structure with this stoichiometry comes out at 0.046 eV per atom. The value obtained for the formation energy is 5.09 kJ/mol of atoms. The calculated total energy is -6.15 eV/atom. As for the crystal system: tetragonal. For the density of states at the Fermi level, the calculation gives 1.99 states/eV/f.u.

---

Here is an optimized crystal structure of Mn2AlIn from the Alexandria database. Energies are from PBE.

Cell lengths 4.4560, 4.4560, 4.4560 Å; angles 60.00, 60.00, 60.00 degrees
Fractional positions:
1 Mn 0.2500 0.2500 0.2500
2 Mn 0.7500 0.7500 0.7500
3 In 0.5000 0.5000 0.5000
4 Al 0.0000 0.0000 0.0000

The energy above the lowest structure with this stoichiometry comes out at 0.106 eV per atom. The value obtained for the formation energy is 10.97 kJ/mol of atoms. The calculated total energy is -6.09 eV/atom. As for the crystal system: cubic. For the density of states at the Fermi level, the calculation gives 4.20 states/eV/f.u.

---

Here is an optimized crystal structure of MnAl3In from the Alexandria database. Energies are from PBE.

Cell lengths 4.6514, 4.6514, 4.6514 Å; angles 90.00, 90.00, 90.00 degrees
Fractional positions:
1 In 0.5000 0.5000 0.5000
2 Al 0.0000 0.5000 0.0000
3 Al 0.0000 0.0000 0.5000
4 Al 0.5000 0.0000 0.0000
5 Mn 0.0000 0.0000 0.0000

The energy above the lowest structure with this stoichiometry comes out at 0.000 eV per atom. The value obtained for the formation energy is 23.30 kJ/mol of atoms. The calculated total energy is -4.39 eV/atom. As for the crystal system: cubic. For the density of states at the Fermi level, the calculation gives 4.44 states/eV/f.u.

---

Here is an optimized crystal structure of Mn3AlIn from the Alexandria database. Energies are from PBE.

Cell lengths 4.5503, 4.5503, 4.5503 Å; angles 90.00, 90.00, 90.00 degrees
Fractional positions:
1 In 0.5000 0.5000 0.5000
2 Mn 0.0000 0.0000 0.5000
3 Mn 0.5000 0.0000 0.0000
4 Mn 0.0000 0.5000 0.0000
5 Al 0.0000 0.0000 0.0000

The energy above the lowest structure with this stoichiometry comes out at 0.000 eV per atom. The value obtained for the formation energy is 72.08 kJ/mol of atoms. The calculated total energy is -6.05 eV/atom. As for the crystal system: cubic. For the density of states at the Fermi level, the calculation gives 3.02 states/eV/f.u.